(i)
Compound: FeAgPb2
Source: Alexandria via LeMat-Bulk
Functional: PBE-GGA
Structure: optimized geometry

a = 3.298 Å, b = 3.298 Å, c = 29.975 Å
α = 90.00°, β = 90.00°, γ = 120.00°
Positions (direct):
Fe 0.000 0.000 0.000
Fe 0.333 0.667 0.667
Fe 0.667 0.333 0.333
Ag 0.000 0.000 0.270
Ag 0.333 0.667 0.937
Ag 0.667 0.333 0.603
Pb 0.000 0.000 0.519
Pb 0.000 0.000 0.741
Pb 0.333 0.667 0.186
Pb 0.333 0.667 0.407
Pb 0.667 0.333 0.074
Pb 0.667 0.333 0.852

Summary:
Total magnetic moment ... 2.82 μB per formula unit
DOS(E_F) ... 0.63 states/eV per atom
Space-group type ... R3m (160)
Calculated volume ... 23.52 Å³/atom

---

(ii)
Compound: FeAgPb2
Source: Alexandria via LeMat-Bulk
Functional: PBE-GGA
Structure: optimized geometry

a = 3.167 Å, b = 4.530 Å, c = 12.819 Å
α = 90.00°, β = 90.00°, γ = 90.00°
Positions (direct):
Fe 0.000 0.000 0.000
Fe 0.500 0.500 0.500
Ag 0.000 0.500 0.316
Ag 0.500 0.000 0.816
Pb 0.000 0.000 0.482
Pb 0.000 0.500 0.696
Pb 0.500 0.000 0.196
Pb 0.500 0.500 0.982

Summary:
Total magnetic moment ... 2.44 μB per formula unit
DOS(E_F) ... 0.94 states/eV per atom
Space-group type ... Imm2 (44)
Calculated volume ... 22.99 Å³/atom

---

Best to worst by energy: (ii), (i).

---

(i)
Compound: FeAgPb2
Source: Alexandria via LeMat-Bulk
Functional: PBE-GGA
Structure: optimized geometry

a = 3.353 Å, b = 3.353 Å, c = 27.490 Å
α = 90.00°, β = 90.00°, γ = 120.00°
Positions (direct):
Fe 0.000 0.000 0.000
Fe 0.333 0.667 0.667
Fe 0.667 0.333 0.333
Ag 0.000 0.000 0.500
Ag 0.333 0.667 0.167
Ag 0.667 0.333 0.833
Pb 0.000 0.000 0.256
Pb 0.000 0.000 0.744
Pb 0.333 0.667 0.410
Pb 0.333 0.667 0.923
Pb 0.667 0.333 0.077
Pb 0.667 0.333 0.590

Summary:
Total magnetic moment ... 2.51 μB per formula unit
DOS(E_F) ... 0.64 states/eV per atom
Space-group type ... R-3m (166)
Calculated volume ... 22.30 Å³/atom

---

(ii)
Compound: FeAgPb2
Source: Alexandria via LeMat-Bulk
Functional: PBE-GGA
Structure: optimized geometry

a = 5.217 Å, b = 5.217 Å, c = 3.277 Å
α = 90.00°, β = 90.00°, γ = 90.00°
Positions (direct):
Fe 0.000 0.000 0.000
Ag 0.500 0.500 0.000
Pb 0.000 0.500 0.500
Pb 0.500 0.000 0.500

Summary:
Total magnetic moment ... 2.92 μB per formula unit
DOS(E_F) ... 0.87 states/eV per atom
Space-group type ... P4/mmm (123)
Calculated volume ... 22.30 Å³/atom

---

(iii)
Compound: FeAgPb2
Source: Alexandria via LeMat-Bulk
Functional: PBE-GGA
Structure: optimized geometry

a = 3.238 Å, b = 3.238 Å, c = 8.833 Å
α = 90.00°, β = 90.00°, γ = 90.00°
Positions (direct):
Fe 0.000 0.000 0.000
Ag 0.500 0.500 0.830
Pb 0.000 0.000 0.584
Pb 0.500 0.500 0.221

Summary:
Total magnetic moment ... 2.92 μB per formula unit
DOS(E_F) ... 0.89 states/eV per atom
Space-group type ... P4mm (99)
Calculated volume ... 23.15 Å³/atom

---

Best to worst by energy: (iii), (i), (ii).